A relaxed structure of BaY2CdBi. Source: the Alexandria database, functional PBEsol.

As for the formation energy: 0.177 eV/atom. The volume comes out at 196 Å³/f.u. The value obtained for the electronic total energy is -20.39 eV per cell.

a = 5.856 Å, b = 5.856 Å, c = 5.715 Å
α = 90.00°, β = 90.00°, γ = 90.00°
Fractional coordinates of all 5 atoms:
Ba 0.000 0.000 0.000
Y 0.000 0.500 0.500
Y 0.500 0.000 0.500
Cd 0.500 0.500 0.000
Bi 0.500 0.500 0.500